Version one
## EuDy2Cd (PBE)

Data for EuDy2Cd after structural relaxation.

Cell lengths 4.955, 4.955, 4.851 Å; angles 90.00, 90.00, 90.00 degrees
Element x y z (fractional)
Eu 0.000 0.000 0.000
Dy 0.000 0.500 0.500
Dy 0.500 0.000 0.500
Cd 0.500 0.500 0.000

**Fermi-level density of states**: 4.7 states/eV per cell
**Crystal system**: tetragonal
**SG**: P4/mmm, No. 123

=====

Version two
## EuDy2Cd (PBE)

Data for EuDy2Cd after structural relaxation.

Cell lengths 3.636, 3.636, 33.201 Å; angles 90.00, 90.00, 120.00 degrees
Element x y z (fractional)
Eu 0.000 0.000 0.000
Eu 0.333 0.667 0.667
Eu 0.667 0.333 0.333
Dy 0.000 0.000 0.241
Dy 0.000 0.000 0.759
Dy 0.333 0.667 0.426
Dy 0.333 0.667 0.907
Dy 0.667 0.333 0.093
Dy 0.667 0.333 0.574
Cd 0.000 0.000 0.500
Cd 0.333 0.667 0.167
Cd 0.667 0.333 0.833

**Fermi-level density of states**: 10.8 states/eV per cell
**Crystal system**: trigonal
**SG**: R-3m, No. 166

=====

Best to worst by energy: version one, version two.

=====

Version one
## EuDy2Cd (PBE)

Data for EuDy2Cd after structural relaxation.

Cell lengths 7.787, 7.787, 7.787 Å; angles 90.00, 90.00, 90.00 degrees
Element x y z (fractional)
Eu 0.000 0.000 0.000
Eu 0.000 0.500 0.500
Eu 0.500 0.000 0.500
Eu 0.500 0.500 0.000
Dy 0.250 0.250 0.250
Dy 0.250 0.250 0.750
Dy 0.250 0.750 0.250
Dy 0.250 0.750 0.750
Dy 0.750 0.250 0.250
Dy 0.750 0.250 0.750
Dy 0.750 0.750 0.250
Dy 0.750 0.750 0.750
Cd 0.000 0.000 0.500
Cd 0.000 0.500 0.000
Cd 0.500 0.000 0.000
Cd 0.500 0.500 0.500

**Fermi-level density of states**: 17.5 states/eV per cell
**Crystal system**: cubic
**SG**: Fm-3m, No. 225

=====

Version two
## EuDy2Cd (PBE)

Data for EuDy2Cd after structural relaxation.

Cell lengths 3.727, 3.727, 8.989 Å; angles 90.00, 90.00, 90.00 degrees
Element x y z (fractional)
Eu 0.000 0.000 0.000
Dy 0.500 0.500 0.295
Dy 0.500 0.500 0.705
Cd 0.000 0.000 0.500

**Fermi-level density of states**: 4.6 states/eV per cell
**Crystal system**: tetragonal
**SG**: P4/mmm, No. 123

=====

Best to worst by energy: version two, version one.